First-principles (PBE) data for an optimized crystal structure of Tb6Ho4Pu, as listed in Alexandria.

Cell: 11.6813 11.6813 17.3061 Å, 90.00 90.00 162.69°
Fractional coordinates of all 22 atoms:
Tb1 0.0000 0.0000 0.0000
Tb2 0.0000 0.0000 0.5000
Tb3 0.2510 0.7490 0.7500
Tb4 0.2586 0.7414 0.0827
Tb5 0.2586 0.7414 0.4173
Tb6 0.4885 0.5115 0.6608
Tb7 0.4885 0.5115 0.8392
Tb8 0.5115 0.4885 0.1608
Tb9 0.5115 0.4885 0.3392
Tb10 0.7414 0.2586 0.5827
Tb11 0.7414 0.2586 0.9173
Tb12 0.7490 0.2510 0.2500
Ho1 0.1180 0.8820 0.6402
Ho2 0.1180 0.8820 0.8598
Ho3 0.3704 0.6296 0.5482
Ho4 0.3704 0.6296 0.9518
Ho5 0.6296 0.3704 0.0482
Ho6 0.6296 0.3704 0.4518
Ho7 0.8820 0.1180 0.1402
Ho8 0.8820 0.1180 0.3598
Pu1 0.1250 0.8750 0.2500
Pu2 0.8750 0.1250 0.7500

Summary:
- DOS(E_F): 20.048 states/eV/f.u.
- VASP energy: -117.1 eV per cell
- Space group: Cmcm